The following is a PBEsol calculation of a geometry-optimized LaZr2Zn structure, from Alexandria via LeMat-Bulk.

```
4
Lattice="3.2331 0.0000 0.0000 0.0000 3.2331 0.0000 0.0000 0.0000 8.7555" Properties=species:S:1:pos:R:3 pbc="T T T"
La 0.0000 0.0000 0.0000
Zr 0.0000 0.0000 3.9739
Zr 1.6165 1.6165 6.0801
Zn 1.6165 1.6165 2.2160
```

Formation enthalpy at 0 K = -5.24 kJ per mole of atoms
M_tot = 0.00 μB/f.u.
Volume = 22.880 Å³/atom
SG = P4mm, No. 99